No. 1
Below is crystalline BaSnCl2 at its relaxed geometry, with properties calculated at the PBE level.

Geometry as POSCAR:
```
BaSnCl2
1.0
-4.2434 4.2434 3.7636
4.2434 -4.2434 3.7636
4.2434 4.2434 -3.7636
Ba Sn Cl
2 2 4
Direct
0.0000 0.0000 0.0000 Ba
0.7500 0.2500 0.5000 Ba
0.2500 0.7500 0.5000 Sn
0.5000 0.5000 0.0000 Sn
0.1214 0.1250 0.4964 Cl
0.3750 0.8786 0.0036 Cl
0.6286 0.6250 0.5036 Cl
0.8750 0.3714 0.9964 Cl
```

* formation energy from raw total energies: -1.17 eV per atom
* volume: 135.5 Å³/f.u.
* E above lowest polymorph: 43 kJ/mol of formula units

***

No. 2
Below is crystalline Nd6RhAu2 at its relaxed geometry, with properties calculated at the PBE level.

Geometry as POSCAR:
```
Nd6RhAu2
1.0
6.9557 0.0000 0.0000
0.0000 7.5229 0.0000
-6.2910 0.0000 10.5441
Nd Rh Au
12 2 4
Direct
0.1116 0.0316 0.2559 Nd
0.1116 0.4684 0.7559 Nd
0.2442 0.6798 0.0685 Nd
0.2442 0.8202 0.5685 Nd
0.3850 0.1934 0.0634 Nd
0.3850 0.3066 0.5634 Nd
0.6150 0.6934 0.4366 Nd
0.6150 0.8066 0.9366 Nd
0.7558 0.1798 0.4315 Nd
0.7558 0.3202 0.9315 Nd
0.8884 0.5316 0.2441 Nd
0.8884 0.9684 0.7441 Nd
0.0000 0.0000 0.0000 Rh
0.0000 0.5000 0.5000 Rh
0.3221 0.1069 0.7683 Au
0.3221 0.3931 0.2683 Au
0.6779 0.6069 0.7317 Au
0.6779 0.8931 0.2317 Au
```

* volume: 275.9 Å³/f.u.
* energy relative to the elements: -491 meV per atom

***

No. 3
Below is crystalline Cs2SiBiS4 at its relaxed geometry, with properties calculated at the PBE level.

Geometry as POSCAR:
```
Cs2SiBiS4
1.0
0.0000 6.9082 12.5633
3.4787 0.0000 12.5633
3.4787 6.9082 0.0000
Cs Si Bi S
4 2 2 8
Direct
0.0546 0.0546 0.6954 Cs
0.3046 0.3046 0.9454 Cs
0.6954 0.6954 0.0546 Cs
0.9454 0.9454 0.3046 Cs
0.3750 0.3750 0.3750 Si
0.6250 0.6250 0.6250 Si
0.1250 0.1250 0.1250 Bi
0.8750 0.8750 0.8750 Bi
0.0567 0.5978 0.5111 S
0.3344 0.5111 0.5978 S
0.4022 0.9433 0.6656 S
0.4889 0.6656 0.9433 S
0.5111 0.3344 0.0567 S
0.5978 0.0567 0.3344 S
0.6656 0.4889 0.4022 S
0.9433 0.4022 0.4889 S
```

* formation energy from raw total energies: -0.75 eV per atom
* volume: 301.9 Å³/f.u.

***

No. 4
Below is crystalline BeAl2Os at its relaxed geometry, with properties calculated at the PBE level.

Geometry as POSCAR:
```
BeAl2Os
1.0
-1.8701 1.8701 3.7406
1.8701 -1.8701 3.7406
1.8701 1.8701 -3.7406
Be Al Os
1 2 1
Direct
0.0000 0.0000 0.0000 Be
0.2500 0.7500 0.5000 Al
0.7500 0.2500 0.5000 Al
0.5000 0.5000 0.0000 Os
```

* volume: 52.3 Å³/f.u.
* energy relative to the elements: -230 meV per atom

***

No. 5
Below is crystalline ErMg3Co8 at its relaxed geometry, with properties calculated at the PBE level.

Geometry as POSCAR:
```
ErMg3Co8
1.0
2.4471 1.4128 8.0209
-2.4471 1.4128 8.0209
0.0000 -2.8256 8.0209
Er Mg Co
1 3 8
Direct
0.0000 0.0000 0.0000 Er
0.3799 0.3799 0.3799 Mg
0.5013 0.5013 0.5013 Mg
0.8726 0.8726 0.8726 Mg
0.1876 0.1876 0.1876 Co
0.4371 0.4371 0.9351 Co
0.4371 0.9351 0.4371 Co
0.4422 0.9378 0.9378 Co
0.6885 0.6885 0.6885 Co
0.9351 0.4371 0.4371 Co
0.9378 0.4422 0.9378 Co
0.9378 0.9378 0.4422 Co
```

* volume: 166.4 Å³/f.u.
* energy relative to the elements: -91 meV per atom

***

No. 6
Below is crystalline Pm2NdDy6Ho at its relaxed geometry, with properties calculated at the PBE level.

Geometry as POSCAR:
```
Pm2NdDy6Ho
1.0
4.5314 -7.5367 0.0000
4.5314 7.5367 0.0000
-1.4288 0.0000 9.5906
Pm Nd Dy Ho
4 2 12 2
Direct
0.1957 0.2981 0.0433 Pm
0.2981 0.1957 0.5433 Pm
0.7019 0.8043 0.4567 Pm
0.8043 0.7019 0.9567 Pm
0.0194 0.9806 0.2500 Nd
0.9806 0.0194 0.7500 Nd
0.0197 0.5712 0.1855 Dy
0.1230 0.7426 0.5571 Dy
0.2574 0.8770 0.9429 Dy
0.2943 0.5072 0.3805 Dy
0.4288 0.9803 0.3145 Dy
0.4928 0.7057 0.1195 Dy
0.5072 0.2943 0.8805 Dy
0.5712 0.0197 0.6855 Dy
0.7057 0.4928 0.6195 Dy
0.7426 0.1230 0.0571 Dy
0.8770 0.2574 0.4429 Dy
0.9803 0.4288 0.8145 Dy
0.4077 0.5923 0.7500 Ho
0.5923 0.4077 0.2500 Ho
```

* volume: 327.5 Å³/f.u.
* energy relative to the elements: 117 meV per atom

***

Q: Which value of volume does entry 6 give?
A: 327.5 Å³/f.u.

***

Q: Which value of volume does entry 2 give?
A: 275.9 Å³/f.u.